# 1
This record from Alexandria via LeMat-Bulk describes crystalline CeMnNi5 at its relaxed geometry. The functional is PBE.

a = 7.929 Å, b = 4.834 Å, c = 10.023 Å
α = 90.00°, β = 90.00°, γ = 90.00°
Space group Pnma (No. 62)
Symmetry-distinct sites (fractional):
Ce 0.250 0.250 0.056 x4
Mn 0.142 0.250 0.354 x4
Ni 0.051 0.250 0.593 x4
Ni 0.066 0.505 0.807 x8
Ni 0.102 0.750 0.018 x4
Ni 0.187 0.750 0.252 x4

## Properties
* total moment: 4.60 μB/f.u.
* ΔE_f: -158 kJ/mol of formula units
* D(E_F): 27.4 states/eV/cell
* E_tot: -6.521 eV/atom


# 2
This record from Alexandria via LeMat-Bulk describes crystalline CeMn2Ni5 at its relaxed geometry. The functional is PBE.

a = 3.670 Å, b = 6.661 Å, c = 9.272 Å
α = 90.00°, β = 90.00°, γ = 90.00°
Space group Immm (No. 71)
Symmetry-distinct sites (fractional):
Ce 0.000 0.000 0.000 x2
Mn 0.000 0.500 0.249 x4
Ni 0.000 0.187 0.364 x8
Ni 0.000 0.500 0.000 x2

## Properties
* total moment: 7.98 μB/f.u.
* ΔE_f: -11 kJ/mol of formula units
* D(E_F): 12.1 states/eV/cell
* E_tot: -6.662 eV/atom


# 3
This record from Alexandria via LeMat-Bulk describes crystalline CeMnNi10 at its relaxed geometry. The functional is PBE.

a = 4.000 Å, b = 4.769 Å, c = 8.249 Å
α = 90.00°, β = 90.00°, γ = 90.00°
Space group Pmmm (No. 47)
Symmetry-distinct sites (fractional):
Ce 0.000 0.000 0.000 x1
Mn 0.000 0.500 0.500 x1
Ni 0.000 0.000 0.341 x2
Ni 0.000 0.500 0.180 x2
Ni 0.500 0.000 0.500 x1
Ni 0.500 0.253 0.256 x4
Ni 0.500 0.500 0.000 x1

## Properties
* total moment: 7.77 μB/f.u.
* ΔE_f: -112 kJ/mol of formula units
* D(E_F): 11.3 states/eV/cell
* E_tot: -6.173 eV/atom


# 4
This record from Alexandria via LeMat-Bulk describes crystalline CeMn2Ni9 at its relaxed geometry. The functional is PBE.

a = 4.8056 Å, b = 4.8056 Å, c = 23.4480 Å
α = 90.00°, β = 90.00°, γ = 120.00°
Space group R-3m (No. 166, hexagonal axes)
Symmetry-distinct sites (fractional):
Ce 0.0000 0.0000 0.0000 x3
Mn 0.0000 0.0000 0.1461 x6
Ni 0.0000 0.0000 0.3343 x6
Ni 0.0000 0.0000 0.5000 x3
Ni 0.0051 0.5025 0.9131 x18

## Properties
* total moment: 11.42 μB/f.u.
* ΔE_f: -193 kJ/mol of formula units
* D(E_F): 34.9 states/eV/cell
* E_tot: -6.526 eV/atom


# 5
This record from Alexandria via LeMat-Bulk describes crystalline Ce2Mn2Ni15 at its relaxed geometry. The functional is PBE.

a = 8.3274 Å, b = 8.3274 Å, c = 12.2655 Å
α = 90.00°, β = 90.00°, γ = 120.00°
Space group R-3m (No. 166, hexagonal axes)
Symmetry-distinct sites (fractional):
Ce 0.0000 0.0000 0.1556 x6
Mn 0.0000 0.0000 0.3988 x6
Ni 0.0000 0.2989 0.5000 x18
Ni 0.0000 0.5000 0.0000 x9
Ni 0.0004 0.5002 0.3444 x18

## Properties
* total moment: 11.43 μB/f.u.
* ΔE_f: -391 kJ/mol of formula units
* D(E_F): 58.1 states/eV/cell
* E_tot: -6.368 eV/atom


# 6
This record from Alexandria via LeMat-Bulk describes crystalline CeMnNi2 at its relaxed geometry. The functional is PBE.

a = 4.1988 Å, b = 4.1988 Å, c = 13.3565 Å
α = 90.00°, β = 90.00°, γ = 120.00°
Space group R-3m (No. 166, hexagonal axes)
Symmetry-distinct sites (fractional):
Ce 0.0000 0.0000 0.0000 x3
Mn 0.0000 0.0000 0.5000 x3
Ni 0.0000 0.0000 0.2027 x6

## Properties
* total moment: 2.98 μB/f.u.
* ΔE_f: -76 kJ/mol of formula units
* D(E_F): 14.1 states/eV/cell
* E_tot: -6.863 eV/atom